{"formula": "NaPrO2", "functional": "GGA-PBEsol", "state": "optimized geometry", "lattice": [[-4.010, 2.537, -0.181], [-2.467, -3.961, -0.879], [2.514, -0.045, 5.973]], "species": ["O", "O", "O", "O", "Na", "Na", "Pr", "Pr"], "fractional_positions": [[0.532, 0.032, 0.064], [0.968, 0.468, 0.936], [0.718, 0.718, 0.436], [0.282, 0.282, 0.564], [0.000, 0.000, 0.000], [0.250, 0.750, 0.500], [0.500, 0.500, 0.000], [0.750, 0.250, 0.500]], "e_form_raw_ev_per_atom": -2.619, "sg": "I4_1/amd", "dos_at_fermi_per_ev_atom": 0.00}